[1]
Crystalline K2NbAgPb at its relaxed geometry, computed with PBE.

## Properties
Total energy ... -2.717 eV per atom
Density of states at the Fermi level ... 0.557 states/eV per atom
Symmetry ... No. 123
ΔE_f ... 1.05 eV per atom

Lattice parameters (Å, degrees): 6.0108 5.3746 6.0108 90.00 90.00 90.00
Site moments in Bohr magnetons follow the coordinates.
Fractional coordinates of all 5 atoms:
Nb: 0.5000 0.5000 0.5000  3.07
K: 0.0000 0.0000 0.5000  0.02
K: 0.5000 0.0000 0.0000  0.02
Pb: 0.0000 0.5000 0.0000  -0.09
Ag: 0.0000 0.0000 0.0000  0.00

[2]
Crystalline La2Ag2Pb at its relaxed geometry, computed with PBE.

## Properties
Total energy ... -4.196 eV per atom
Density of states at the Fermi level ... 0.749 states/eV per atom
Symmetry ... No. 12
ΔE_f ... -0.34 eV per atom

Lattice parameters (Å, degrees): 4.8652 6.2806 10.3709 97.25 76.43 67.21
Fractional coordinates of all 10 atoms:
La: 0.7062 0.2128 0.3748
La: 0.1192 0.7094 0.0522
La: 0.2938 0.7872 0.6252
La: 0.8808 0.2906 0.9478
Ag: 0.9913 0.4019 0.6154
Ag: 0.6524 0.8319 0.8633
Ag: 0.3476 0.1681 0.1367
Ag: 0.0087 0.5981 0.3846
Pb: 0.5216 0.2365 0.7203
Pb: 0.4784 0.7635 0.2797

[3]
Crystalline Rb2H6S at its relaxed geometry, computed with PBE.

## Properties
Total energy ... -3.230 eV per atom
Density of states at the Fermi level ... 0.000 states/eV per atom
Symmetry ... No. 15

Lattice parameters (Å, degrees): 8.7286 5.2842 8.7286 90.06 122.34 90.06
Fractional coordinates of all 18 atoms:
H: 0.3192 0.8222 0.6801
H: 0.6808 0.1778 0.3199
H: 0.2433 0.7516 0.3177
H: 0.3199 0.6778 0.6808
H: 0.1392 0.7511 0.2736
H: 0.7567 0.2484 0.6823
H: 0.7264 0.7489 0.8608
H: 0.8608 0.2489 0.7264
H: 0.6823 0.7484 0.7567
H: 0.2736 0.2511 0.1392
H: 0.6801 0.3222 0.3192
H: 0.3177 0.2516 0.2433
Rb: 0.0685 0.2506 0.3799
Rb: 0.3799 0.7506 0.0685
Rb: 0.9315 0.7494 0.6201
Rb: 0.6201 0.2494 0.9315
S: 0.8090 0.7500 0.1910
S: 0.1910 0.2500 0.8090

[4]
Crystalline Zn2FeOs at its relaxed geometry, computed with PBE.

## Properties
Total energy ... -5.380 eV per atom
Density of states at the Fermi level ... 0.689 states/eV per atom
Excess energy over the best structure of this formula in the dataset ... 46 kJ/mol of formula units
Symmetry ... No. 35
ΔE_f ... 0.18 eV per atom

Lattice parameters (Å, degrees): 2.6569 2.6569 8.7813 90.00 90.00 116.32
Site moments in Bohr magnetons follow the coordinates.
Fractional coordinates of all 4 atoms:
Os: 0.5000 0.5000 0.7388  0.06
Zn: 0.5000 0.5000 0.2602  -0.04
Zn: 0.0000 0.0000 0.9998  -0.01
Fe: 0.0000 0.0000 0.5012  2.42

[5]
Crystalline GeBi2I at its relaxed geometry, computed with PBE.

## Properties
Total energy ... -3.222 eV per atom
E_form (uncorrected) ... 0.261 eV/atom
Density of states at the Fermi level ... 0.760 states/eV per atom
Excess energy over the best structure of this formula in the dataset ... 0 kJ/mol of formula units
Symmetry ... No. 122

Lattice parameters (Å, degrees): 7.7657 7.7657 7.6829 59.64 59.64 90.00
Fractional coordinates of all 8 atoms:
I: 0.7500 0.2500 0.5000
I: 0.0000 0.0000 0.0000
Ge: 0.5000 0.5000 0.0000
Ge: 0.2500 0.7500 0.5000
Bi: 0.5707 0.1250 0.2500
Bi: 0.3750 0.4293 0.7500
Bi: 0.1793 0.6250 0.2500
Bi: 0.8750 0.8207 0.7500

[6]
Crystalline BeAsP at its relaxed geometry, computed with PBE.

## Properties
Total energy ... -4.272 eV per atom
Density of states at the Fermi level ... 0.209 states/eV per atom
Excess energy over the best structure of this formula in the dataset ... 25 kJ/mol of formula units
Symmetry ... No. 42
ΔE_f ... 0.32 eV per atom

Lattice parameters (Å, degrees): 5.9995 5.7949 3.0966 78.47 71.16 30.38
Fractional coordinates of all 3 atoms:
Be: 0.3203 0.3203 0.6797
P: 0.7259 0.7259 0.2741
As: 0.9538 0.9538 0.0462

[7]
Crystalline Th2Ga4CuRh3 at its relaxed geometry, computed with PBE.

## Properties
Total energy ... -5.994 eV per atom
Density of states at the Fermi level ... 1.026 states/eV per atom
Symmetry ... No. 115
ΔE_f ... -0.68 eV per atom

Lattice parameters (Å, degrees): 4.1713 4.1713 10.7366 90.00 90.00 90.00
Fractional coordinates of all 10 atoms:
Ga: 0.5000 0.0000 0.6263
Ga: 0.5000 0.5000 0.0000
Ga: 0.0000 0.0000 0.0000
Ga: 0.0000 0.5000 0.3737
Th: 0.5000 0.0000 0.2446
Th: 0.0000 0.5000 0.7554
Rh: 0.0000 0.5000 0.1407
Rh: 0.0000 0.0000 0.5000
Rh: 0.5000 0.0000 0.8593
Cu: 0.5000 0.5000 0.5000

[8]
Crystalline Bi2PdO4 at its relaxed geometry, computed with PBE.

## Properties
Total energy ... -5.606 eV per atom
E_form (uncorrected) ... -0.922 eV/atom
Density of states at the Fermi level ... 0.169 states/eV per atom
Excess energy over the best structure of this formula in the dataset ... 58 kJ/mol of formula units
Symmetry ... No. 108

Lattice parameters (Å, degrees): 7.0755 7.0755 7.0755 99.32 99.32 132.53
Fractional coordinates of all 14 atoms:
O: 0.0509 0.3549 0.0831
O: 0.4678 0.7718 0.9169
O: 0.2718 0.9678 0.9169
O: 0.3549 0.2718 0.3040
O: 0.9678 0.0509 0.6960
O: 0.8549 0.5509 0.0831
O: 0.5509 0.4678 0.6960
O: 0.7718 0.8549 0.3040
Pd: 0.1738 0.1738 0.0000
Pd: 0.6738 0.6738 0.0000
Bi: 0.8019 0.6488 0.5000
Bi: 0.1488 0.3019 0.5000
Bi: 0.6488 0.1488 0.8470
Bi: 0.3019 0.8019 0.1530

[9]
Crystalline TmAgB at its relaxed geometry, computed with PBE.

## Properties
Total energy ... -4.840 eV per atom
Density of states at the Fermi level ... 0.449 states/eV per atom
Symmetry ... No. 12
ΔE_f ... -0.17 eV per atom

Lattice parameters (Å, degrees): 3.6875 4.8012 6.8356 99.36 90.00 112.58
Fractional coordinates of all 6 atoms:
Ag: 0.6339 0.2677 0.4188
Ag: 0.3661 0.7323 0.5812
B: 0.4202 0.8403 0.9290
B: 0.5798 0.1597 0.0710
Tm: 0.8859 0.7718 0.1839
Tm: 0.1141 0.2282 0.8161

[10]
Crystalline Li2Pr2Ga3 at its relaxed geometry, computed with PBE.

## Properties
Total energy ... -3.642 eV per atom
Density of states at the Fermi level ... 1.107 states/eV per atom
Symmetry ... No. 63
ΔE_f ... -0.43 eV per atom

Lattice parameters (Å, degrees): 4.3931 7.3287 9.9631 90.00 102.74 90.00
Fractional coordinates of all 14 atoms:
Ga: 0.4416 0.9259 0.8833
Ga: 0.2248 0.7500 0.4497
Ga: 0.5584 0.0741 0.1167
Ga: 0.7752 0.2500 0.5503
Ga: 0.5584 0.4259 0.1167
Ga: 0.4416 0.5741 0.8833
Li: 0.6885 0.9411 0.3770
Li: 0.3115 0.4411 0.6230
Li: 0.6885 0.5589 0.3770
Li: 0.3115 0.0589 0.6230
Pr: 0.0565 0.7500 0.1130
Pr: 0.9435 0.2500 0.8870
Pr: 0.1558 0.2500 0.3116
Pr: 0.8442 0.7500 0.6884

[11]
Crystalline Tb3Nd3Er8 at its relaxed geometry, computed with PBE.

## Properties
Total energy ... -4.512 eV per atom
Density of states at the Fermi level ... 1.601 states/eV per atom
Symmetry ... No. 71
ΔE_f ... 0.11 eV per atom

Lattice parameters (Å, degrees): 5.6294 9.6553 9.6553 102.10 73.05 73.05
Fractional coordinates of all 14 atoms:
Tb: 0.2031 0.7968 0.7968
Tb: 0.5000 0.5000 0.5000
Tb: 0.7969 0.2032 0.2032
Nd: 0.0000 0.8155 0.1845
Nd: 0.0000 0.1845 0.8155
Nd: 0.5000 0.0000 0.0000
Er: 0.6608 0.1187 0.5595
Er: 0.8421 0.7607 0.5554
Er: 0.6608 0.5595 0.1187
Er: 0.3392 0.4405 0.8813
Er: 0.1579 0.2393 0.4446
Er: 0.1579 0.4446 0.2393
Er: 0.8421 0.5554 0.7607
Er: 0.3392 0.8813 0.4405

[12]
Crystalline LiZn3In3 at its relaxed geometry, computed with PBE.

## Properties
Total energy ... -1.639 eV per atom
Density of states at the Fermi level ... 0.715 states/eV per atom
Symmetry ... No. 223
ΔE_f ... 0.35 eV per atom

Lattice parameters (Å, degrees): 7.6091 7.6091 7.6091 90.00 90.00 90.00
Fractional coordinates of all 14 atoms:
In: 0.2500 0.0000 0.5000
In: 0.5000 0.2500 0.0000
In: 0.7500 0.0000 0.5000
In: 0.5000 0.7500 0.0000
In: 0.0000 0.5000 0.7500
In: 0.0000 0.5000 0.2500
Zn: 0.5000 0.0000 0.2500
Zn: 0.7500 0.5000 0.0000
Zn: 0.0000 0.2500 0.5000
Zn: 0.2500 0.5000 0.0000
Zn: 0.0000 0.7500 0.5000
Zn: 0.5000 0.0000 0.7500
Li: 0.5000 0.5000 0.5000
Li: 0.0000 0.0000 0.0000